1.
Density functional theory data (SCAN) for a crystal of KNaFeSi4O10 relaxed with PBEsol.

## Properties
Formation energy from raw total energies ... -2714 meV/atom
M_tot ... 4.00 μB per formula unit

Unit cell a=7.0075 b=8.1136 c=9.9002 alpha=104.48 beta=101.63 gamma=113.94
Last column: nearest neighbours and their distance in Å.
Atoms (fractional coordinates):
1 K 0.8248 0.1936 0.9906  7 O 2.73-3.03
2 O 0.3923 0.6433 0.4409  1 Si 1.60
3 O 0.3347 0.5374 0.8637  2 Si 1.65
4 O 0.8475 0.1442 0.2859  1 Si 1.60
5 Na 0.7531 0.7190 0.5905  5 O 2.40-2.60
6 O 0.9158 0.5870 0.4238  1 Si 1.60
7 Si 0.1039 0.3698 0.7262  4 O 1.60-1.65
8 Si 0.5759 0.6971 0.8673  4 O 1.59-1.65
9 O 0.5613 0.8064 0.7555  1 Si 1.59
10 Na 0.2469 0.2810 0.4095  5 O 2.40-2.60
11 Si 0.7422 0.9137 0.2173  4 O 1.60-1.65
12 Si 0.3241 0.6250 0.2718  4 O 1.60-1.65
13 O 0.0891 0.1571 0.7066  2 Si 1.64
14 O 0.2926 0.1457 0.9609  2 Si 1.64-1.65
15 O 0.6077 0.3567 0.5591  1 Si 1.60
16 Si 0.4241 0.3029 0.1327  4 O 1.59-1.65
17 O 0.9095 0.3729 0.7937  2 Si 1.64
18 Fe 0.7489 0.3015 0.4074  4 O 1.96-2.10
19 O 0.4387 0.1936 0.2445  1 Si 1.59
20 O 0.1525 0.8558 0.7141  1 Si 1.60
21 O 0.4992 0.2033 0.7667  2 Si 1.63-1.64
22 K 0.1752 0.8064 0.0094  7 O 2.73-3.03
23 O 0.0842 0.4130 0.5762  1 Si 1.60
24 O 0.7074 0.8543 0.0391  2 Si 1.64-1.65
25 O 0.2744 0.4125 0.1602  2 Si 1.65
26 O 0.7256 0.5875 0.8398  2 Si 1.65
27 O 0.5008 0.7967 0.2333  2 Si 1.63-1.64
28 O 0.0905 0.6271 0.2063  2 Si 1.64
29 Fe 0.2511 0.6985 0.5926  4 O 1.96-2.10
30 O 0.6653 0.4626 0.1363  2 Si 1.65
31 Si 0.6759 0.3750 0.7282  4 O 1.60-1.65
32 Si 0.2578 0.0863 0.7827  4 O 1.60-1.65
33 Si 0.8961 0.6302 0.2738  4 O 1.60-1.65
34 O 0.9109 0.8429 0.2934  2 Si 1.64

---

2.
Density functional theory data (SCAN) for a crystal of KNb2FeSi relaxed with PBEsol.

## Properties
Formation energy from raw total energies ... 1473 meV/atom
M_tot ... 0.00 μB per formula unit

Unit cell a=4.5651 b=4.5651 c=4.9304 alpha=90.00 beta=90.00 gamma=90.00
Last column: nearest neighbours and their distance in Å.
Atoms (fractional coordinates):
1 Nb 0.5000 0.0000 0.0000  2 Fe 2.28
2 Nb 0.0000 0.5000 0.0000  2 Fe 2.28
3 Fe 0.0000 0.0000 0.0000  4 Nb 2.28, 2 K 2.47
4 K 0.0000 0.0000 0.5000  2 Fe 2.47
5 Si 0.5000 0.5000 0.5000  4 K 3.23, 8 Nb 3.36